# AlHgGe

An optimized crystal structure of AlHgGe (PBE, OQMD via LeMat-Bulk).

E above lowest polymorph in meV/atom: 0

```
data_AlHgGe
_chemical_formula_sum 'Al1 Hg1 Ge1'
_symmetry_space_group_name_H-M 'P 1'
_symmetry_Int_Tables_number 1
_cell_length_a 4.5289
_cell_length_b 4.5289
_cell_length_c 4.5289
_cell_angle_alpha 60.00
_cell_angle_beta 60.00
_cell_angle_gamma 60.00
loop_
_symmetry_equiv_pos_as_xyz
'x,y,z'
loop_
_atom_site_label
_atom_site_fract_x
_atom_site_fract_y
_atom_site_fract_z
_atom_site_occupancy
Ge1 0.2500 0.2500 0.2500 1
Al1 0.0000 0.0000 0.0000 1
Hg1 0.7500 0.7500 0.7500 1
```



# MgTaIr2

An optimized crystal structure of MgTaIr2 (PBE, OQMD via LeMat-Bulk).

E above lowest polymorph in meV/atom: 47

```
data_MgTaIr2
_chemical_formula_sum 'Mg1 Ta1 Ir2'
_symmetry_space_group_name_H-M 'P 1'
_symmetry_Int_Tables_number 1
_cell_length_a 3.0185
_cell_length_b 3.0185
_cell_length_c 6.9906
_cell_angle_alpha 90.00
_cell_angle_beta 90.00
_cell_angle_gamma 90.00
loop_
_symmetry_equiv_pos_as_xyz
'x,y,z'
loop_
_atom_site_label
_atom_site_fract_x
_atom_site_fract_y
_atom_site_fract_z
_atom_site_occupancy
Ir1 0.5000 0.5000 0.7556 1
Ir2 0.5000 0.5000 0.2444 1
Ta1 0.0000 0.0000 0.0000 1
Mg1 0.0000 0.0000 0.5000 1
```



# Lu4SiAsN2

An optimized crystal structure of Lu4SiAsN2 (PBE, OQMD via LeMat-Bulk).

Raw total energy in eV per atom: -6.865

```
data_Lu4SiAsN2
_chemical_formula_sum 'Lu4 Si1 As1 N2'
_symmetry_space_group_name_H-M 'P 1'
_symmetry_Int_Tables_number 1
_cell_length_a 3.4741
_cell_length_b 3.4741
_cell_length_c 13.3205
_cell_angle_alpha 90.00
_cell_angle_beta 90.00
_cell_angle_gamma 120.00
loop_
_symmetry_equiv_pos_as_xyz
'x,y,z'
loop_
_atom_site_label
_atom_site_fract_x
_atom_site_fract_y
_atom_site_fract_z
_atom_site_occupancy
As1 0.6667 0.3333 0.5000 1
N1 0.3333 0.6667 0.7452 1
N2 0.3333 0.6667 0.2548 1
Lu1 0.0000 0.0000 0.3511 1
Lu2 0.6667 0.3333 0.8438 1
Lu3 0.6667 0.3333 0.1562 1
Lu4 0.0000 0.0000 0.6489 1
Si1 0.0000 0.0000 0.0000 1
```



# ErTaAsO

An optimized crystal structure of ErTaAsO (PBE, OQMD via LeMat-Bulk).

E above lowest polymorph in meV/atom: 0

```
data_ErTaAsO
_chemical_formula_sum 'Er2 Ta2 As2 O2'
_symmetry_space_group_name_H-M 'P 1'
_symmetry_Int_Tables_number 1
_cell_length_a 3.9323
_cell_length_b 3.9323
_cell_length_c 8.9389
_cell_angle_alpha 90.00
_cell_angle_beta 90.00
_cell_angle_gamma 90.00
loop_
_symmetry_equiv_pos_as_xyz
'x,y,z'
loop_
_atom_site_label
_atom_site_fract_x
_atom_site_fract_y
_atom_site_fract_z
_atom_site_occupancy
Er1 0.5000 0.0000 0.1197 1
Er2 0.0000 0.5000 0.8803 1
Ta1 0.5000 0.5000 0.5000 1
Ta2 0.0000 0.0000 0.5000 1
O1 0.5000 0.5000 0.0000 1
O2 0.0000 0.0000 0.0000 1
As1 0.0000 0.5000 0.2970 1
As2 0.5000 0.0000 0.7030 1
```



# In2CoB

An optimized crystal structure of In2CoB (PBE, OQMD via LeMat-Bulk).

Raw total energy in eV per atom: -3.678

```
data_In2CoB
_chemical_formula_sum 'In2 Co1 B1'
_symmetry_space_group_name_H-M 'P 1'
_symmetry_Int_Tables_number 1
_cell_length_a 4.4854
_cell_length_b 4.4854
_cell_length_c 4.4854
_cell_angle_alpha 60.00
_cell_angle_beta 60.00
_cell_angle_gamma 60.00
loop_
_symmetry_equiv_pos_as_xyz
'x,y,z'
loop_
_atom_site_label
_atom_site_fract_x
_atom_site_fract_y
_atom_site_fract_z
_atom_site_occupancy
In1 0.7500 0.7500 0.7500 1
In2 0.0000 0.0000 0.0000 1
Co1 0.2500 0.2500 0.2500 1
B1 0.5000 0.5000 0.5000 1
```



# Gd3Cd3GaPd2

An optimized crystal structure of Gd3Cd3GaPd2 (PBE, OQMD via LeMat-Bulk).

Raw total energy in eV per atom: -3.966

```
data_Gd3Cd3GaPd2
_chemical_formula_sum 'Gd3 Cd3 Ga1 Pd2'
_symmetry_space_group_name_H-M 'P 1'
_symmetry_Int_Tables_number 1
_cell_length_a 7.6229
_cell_length_b 7.6229
_cell_length_c 3.9869
_cell_angle_alpha 90.00
_cell_angle_beta 90.00
_cell_angle_gamma 120.00
loop_
_symmetry_equiv_pos_as_xyz
'x,y,z'
loop_
_atom_site_label
_atom_site_fract_x
_atom_site_fract_y
_atom_site_fract_z
_atom_site_occupancy
Gd1 0.5872 0.0000 0.0000 1
Gd2 0.0000 0.5872 0.0000 1
Gd3 0.4128 0.4128 0.0000 1
Ga1 0.0000 0.0000 0.0000 1
Cd1 0.7442 0.7442 0.5000 1
Cd2 0.2558 0.0000 0.5000 1
Cd3 0.0000 0.2558 0.5000 1
Pd1 0.3333 0.6667 0.5000 1
Pd2 0.6667 0.3333 0.5000 1
```



# Lu4AsN3

An optimized crystal structure of Lu4AsN3 (PBE, OQMD via LeMat-Bulk).

Raw total energy in eV per atom: -7.614

```
data_Lu4AsN3
_chemical_formula_sum 'Lu8 As2 N6'
_symmetry_space_group_name_H-M 'P 1'
_symmetry_Int_Tables_number 1
_cell_length_a 3.4167
_cell_length_b 3.4167
_cell_length_c 24.0671
_cell_angle_alpha 90.00
_cell_angle_beta 90.00
_cell_angle_gamma 120.00
loop_
_symmetry_equiv_pos_as_xyz
'x,y,z'
loop_
_atom_site_label
_atom_site_fract_x
_atom_site_fract_y
_atom_site_fract_z
_atom_site_occupancy
Lu1 0.3333 0.6667 0.0548 1
Lu2 0.0000 0.0000 0.8349 1
Lu3 0.0000 0.0000 0.3349 1
Lu4 0.0000 0.0000 0.6651 1
Lu5 0.0000 0.0000 0.1651 1
Lu6 0.6667 0.3333 0.9452 1
Lu7 0.3333 0.6667 0.4452 1
Lu8 0.6667 0.3333 0.5548 1
As1 0.3333 0.6667 0.2500 1
As2 0.6667 0.3333 0.7500 1
N1 0.6667 0.3333 0.1145 1
N2 0.3333 0.6667 0.6145 1
N3 0.3333 0.6667 0.8855 1
N4 0.0000 0.0000 0.5000 1
N5 0.0000 0.0000 0.0000 1
N6 0.6667 0.3333 0.3855 1
```



# HgTe2Pt2F2

An optimized crystal structure of HgTe2Pt2F2 (PBE, OQMD via LeMat-Bulk).

Raw total energy in eV per atom: -3.527

```
data_HgTe2Pt2F2
_chemical_formula_sum 'Hg1 Te2 Pt2 F2'
_symmetry_space_group_name_H-M 'P 1'
_symmetry_Int_Tables_number 1
_cell_length_a 3.5676
_cell_length_b 3.5676
_cell_length_c 10.7781
_cell_angle_alpha 90.00
_cell_angle_beta 90.00
_cell_angle_gamma 90.00
loop_
_symmetry_equiv_pos_as_xyz
'x,y,z'
loop_
_atom_site_label
_atom_site_fract_x
_atom_site_fract_y
_atom_site_fract_z
_atom_site_occupancy
F1 0.0000 0.0000 0.5000 1
F2 0.5000 0.5000 0.5000 1
Pt1 0.5000 0.0000 0.6544 1
Pt2 0.0000 0.5000 0.3456 1
Hg1 0.5000 0.5000 0.0000 1
Te1 0.5000 0.0000 0.2471 1
Te2 0.0000 0.5000 0.7529 1
```



# Tm2Co17

An optimized crystal structure of Tm2Co17 (PBE, OQMD via LeMat-Bulk).

E above lowest polymorph in meV/atom: 0
Energy of formation from the pure elements in kcal/mol of atoms: -2.51

```
data_Tm2Co17
_chemical_formula_sum 'Tm2 Co17'
_symmetry_space_group_name_H-M 'P 1'
_symmetry_Int_Tables_number 1
_cell_length_a 6.2105
_cell_length_b 6.2105
_cell_length_c 6.2105
_cell_angle_alpha 82.93
_cell_angle_beta 82.93
_cell_angle_gamma 82.93
loop_
_symmetry_equiv_pos_as_xyz
'x,y,z'
loop_
_atom_site_label
_atom_site_fract_x
_atom_site_fract_y
_atom_site_fract_z
_atom_site_occupancy
Co1 0.1510 0.6531 0.6531 1
Co2 0.0000 0.7097 0.2903 1
Co3 0.0969 0.0969 0.0969 1
Co4 0.9031 0.9031 0.9031 1
Co5 0.6531 0.6531 0.1510 1
Co6 0.0000 0.0000 0.5000 1
Co7 0.3469 0.3469 0.8490 1
Co8 0.0000 0.2903 0.7097 1
Co9 0.2903 0.0000 0.7097 1
Co10 0.0000 0.5000 0.0000 1
Co11 0.2903 0.7097 0.0000 1
Co12 0.3469 0.8490 0.3469 1
Co13 0.6531 0.1510 0.6531 1
Co14 0.5000 0.0000 0.0000 1
Co15 0.7097 0.0000 0.2903 1
Co16 0.8490 0.3469 0.3469 1
Co17 0.7097 0.2903 0.0000 1
Tm1 0.6560 0.6560 0.6560 1
Tm2 0.3440 0.3440 0.3440 1
```



# Dy2TmMg4Tl2

An optimized crystal structure of Dy2TmMg4Tl2 (PBE, OQMD via LeMat-Bulk).

Raw total energy in eV per atom: -2.960

```
data_Dy2TmMg4Tl2
_chemical_formula_sum 'Dy2 Tm1 Mg4 Tl2'
_symmetry_space_group_name_H-M 'P 1'
_symmetry_Int_Tables_number 1
_cell_length_a 4.6289
_cell_length_b 7.5448
_cell_length_c 7.5448
_cell_angle_alpha 119.69
_cell_angle_beta 90.00
_cell_angle_gamma 90.00
loop_
_symmetry_equiv_pos_as_xyz
'x,y,z'
loop_
_atom_site_label
_atom_site_fract_x
_atom_site_fract_y
_atom_site_fract_z
_atom_site_occupancy
Tm1 0.0000 0.5636 0.5636 1
Mg1 0.0000 0.9975 0.9975 1
Mg2 0.5000 0.0003 0.7580 1
Mg3 0.5000 0.7580 0.0003 1
Mg4 0.5000 0.2414 0.2414 1
Dy1 0.0000 0.4363 0.0009 1
Dy2 0.0000 0.0009 0.4363 1
Tl1 0.5000 0.3354 0.6666 1
Tl2 0.5000 0.6666 0.3354 1
```